[1]
First-principles (GGA-PBE) data for crystalline ReSe2BrN at its relaxed geometry, as listed in the Alexandria database.

Geometry as POSCAR:
```
ReSe2BrN
1.0
4.372 0.000 0.000
0.000 4.372 0.000
0.000 0.000 4.258
Re Se Br N
1 2 1 1
Direct
0.000 0.000 0.000
0.000 0.500 0.500
0.500 0.000 0.500
0.500 0.500 0.000
0.500 0.500 0.500
```

Calculated values
calculated density = 8.9 g cm⁻³
ΔE to the lowest computed polymorph = 1248 meV/atom
E_form (uncorrected) = 1667 meV/atom
E = -4.2158 eV/atom
DOS(E_F) = 2.3 states/eV/cell

[2]
First-principles (GGA-PBE) data for crystalline Ti2InHg at its relaxed geometry, as listed in the Alexandria database.

Geometry as POSCAR:
```
Ti2InHg
1.0
3.024 0.000 0.000
0.000 3.024 0.000
0.000 0.000 8.279
Ti In Hg
2 1 1
Direct
0.000 0.000 0.247
0.000 0.000 0.753
0.500 0.500 0.500
0.500 0.500 0.000
```

Calculated values
calculated density = 9.0 g cm⁻³
ΔE_f = -0.078 eV per atom
E = -4.7856 eV/atom
DOS(E_F) = 5.1 states/eV/cell

[3]
First-principles (GGA-PBE) data for crystalline TiZn2Sb2 at its relaxed geometry, as listed in the Alexandria database.

Geometry as POSCAR:
```
TiZn2Sb2
1.0
7.331 0.000 0.000
0.000 7.331 0.000
0.000 0.000 3.931
Ti Zn Sb
2 4 4
Direct
0.000 0.000 0.000
0.500 0.500 0.000
0.147 0.353 0.500
0.353 0.853 0.500
0.647 0.147 0.500
0.853 0.647 0.500
0.160 0.660 0.000
0.340 0.160 0.000
0.660 0.840 0.000
0.840 0.340 0.000
```

Calculated values
calculated density = 6.6 g cm⁻³
ΔE to the lowest computed polymorph = 56 meV/atom
E_form (uncorrected) = 95 meV/atom
E = -3.6425 eV/atom
DOS(E_F) = 6.3 states/eV/cell

[4]
First-principles (GGA-PBE) data for crystalline SnBH2 at its relaxed geometry, as listed in the Alexandria database.

Geometry as POSCAR:
```
SnBH2
1.0
3.969 0.000 0.000
0.000 3.969 0.000
0.000 0.000 10.063
Sn B H
4 4 8
Direct
0.000 0.250 0.375
0.000 0.750 0.625
0.500 0.250 0.125
0.500 0.750 0.875
0.000 0.250 0.875
0.000 0.750 0.125
0.500 0.250 0.625
0.500 0.750 0.375
0.000 0.000 0.000
0.000 0.500 0.000
0.250 0.250 0.750
0.250 0.750 0.250
0.500 0.000 0.500
0.500 0.500 0.500
0.750 0.250 0.750
0.750 0.750 0.250
```

Calculated values
calculated density = 5.5 g cm⁻³
ΔE to the lowest computed polymorph = 0 meV/atom
E = -3.5298 eV/atom
DOS(E_F) = 4.4 states/eV/cell

[5]
First-principles (GGA-PBE) data for crystalline Ac4CdIrI2 at its relaxed geometry, as listed in the Alexandria database.

Geometry as POSCAR:
```
Ac4CdIrI2
1.0
8.243 0.000 0.000
0.000 4.429 0.000
-2.650 0.000 8.676
Ac Cd Ir I
4 1 1 2
Direct
0.214 0.000 0.187
0.221 0.500 0.801
0.779 0.500 0.199
0.786 0.000 0.813
0.500 0.000 0.000
0.000 0.500 0.000
0.000 0.000 0.500
0.500 0.500 0.500
```

Calculated values
calculated density = 7.7 g cm⁻³
E_form (uncorrected) = -799 meV/atom
E = -4.4623 eV/atom
DOS(E_F) = 5.3 states/eV/cell

[6]
First-principles (GGA-PBE) data for crystalline Dy3Er5Tm2 at its relaxed geometry, as listed in the Alexandria database.

Geometry as POSCAR:
```
Dy3Er5Tm2
1.0
-6.324 8.387 3.090
6.324 -8.387 3.090
6.324 8.387 -3.090
Dy Er Tm
6 10 4
Direct
0.250 0.159 0.409
0.250 0.250 0.000
0.250 0.659 0.910
0.750 0.341 0.090
0.750 0.750 0.000
0.750 0.841 0.591
0.156 0.401 0.557
0.250 0.000 0.750
0.250 0.500 0.250
0.250 0.750 0.500
0.344 0.901 0.245
0.656 0.099 0.755
0.750 0.000 0.250
0.750 0.250 0.500
0.750 0.500 0.750
0.844 0.599 0.443
0.156 0.901 0.057
0.344 0.401 0.744
0.656 0.599 0.256
0.844 0.099 0.943
```

Calculated values
calculated density = 8.4 g cm⁻³
ΔE to the lowest computed polymorph = 155 meV/atom
ΔE_f = 0.359 eV per atom
E = -4.1973 eV/atom
DOS(E_F) = 31.0 states/eV/cell